[1]
A plane-wave DFT calculation with PBE-GGA was carried out for Cu2PtRh after structural relaxation.

Geometry as CIF:
```
data_Cu2PtRh
_chemical_formula_sum 'Cu4 Pt2 Rh2'
_cell_length_a 5.3603
_cell_length_b 8.8502
_cell_length_c 2.6671
_cell_angle_alpha 90.00
_cell_angle_beta 118.56
_cell_angle_gamma 90.00
_space_group_name_H-M_alt 'C 1 2/m 1'
_space_group_IT_number 12
loop_
_space_group_symop_operation_xyz
'x,y,z'
'-x,-y,-z'
'-x,y,-z'
'x,-y,z'
'x+1/2,y+1/2,z'
'-x+1/2,-y+1/2,-z'
'-x+1/2,y+1/2,-z'
'x+1/2,-y+1/2,z'
loop_
_atom_site_label
_atom_site_type_symbol
_atom_site_fract_x
_atom_site_fract_y
_atom_site_fract_z
Cu1 Cu 0.2500 0.2500 0.0000
Pt1 Pt 0.0000 0.0000 0.5000
Rh1 Rh 0.0000 0.5000 0.5000
```

Output
Raw total energy = -43.02 eV/cell
ΔH_f (0 K) = 18.2 meV per atom
Theoretical density = 12.70 Mg/m³
Total moment = 0.133 μB/f.u.
DOS at the Fermi energy = 9.7 states/eV/cell



[2]
A plane-wave DFT calculation with PBE-GGA was carried out for CuPtRh after structural relaxation.

Geometry as CIF:
```
data_CuPtRh
_chemical_formula_sum 'Cu2 Pt2 Rh2'
_cell_length_a 2.7271
_cell_length_b 2.7271
_cell_length_c 13.2118
_cell_angle_alpha 90.00
_cell_angle_beta 90.00
_cell_angle_gamma 120.00
_space_group_name_H-M_alt 'P 3 m 1'
_space_group_IT_number 156
loop_
_space_group_symop_operation_xyz
'x,y,z'
'-y,x-y,z'
'-x+y,-x,z'
'-y,-x,z'
'-x+y,y,z'
'x,x-y,z'
loop_
_atom_site_label
_atom_site_type_symbol
_atom_site_fract_x
_atom_site_fract_y
_atom_site_fract_z
Cu1 Cu 0.0000 0.0000 0.0000
Cu2 Cu 0.0000 0.0000 0.3314
Pt1 Pt 0.6667 0.3333 0.1656
Pt2 Pt 0.6667 0.3333 0.4968
Rh1 Rh 0.0000 0.0000 0.6735
Rh2 Rh 0.3333 0.6667 0.8380
```

Output
Raw total energy = -35.27 eV/cell
ΔH_f (0 K) = -49.6 meV per atom
Theoretical density = 14.11 Mg/m³
Total moment = 0.000 μB/f.u.
DOS at the Fermi energy = 7.2 states/eV/cell



[3]
A plane-wave DFT calculation with PBE-GGA was carried out for Cu2PtRh after structural relaxation.

Geometry as CIF:
```
data_Cu2PtRh
_chemical_formula_sum 'Cu2 Pt1 Rh1'
_cell_length_a 2.6973
_cell_length_b 3.7906
_cell_length_c 5.3447
_cell_angle_alpha 90.00
_cell_angle_beta 90.49
_cell_angle_gamma 90.00
_space_group_name_H-M_alt 'P 1 m 1'
_space_group_IT_number 6
loop_
_space_group_symop_operation_xyz
'x,y,z'
'x,-y,z'
loop_
_atom_site_label
_atom_site_type_symbol
_atom_site_fract_x
_atom_site_fract_y
_atom_site_fract_z
Cu1 Cu 0.0000 0.0000 0.0000
Cu2 Cu 0.4952 0.5000 0.2389
Pt1 Pt 0.9954 0.0000 0.4908
Rh1 Rh 0.4990 0.5000 0.7533
```

Output
Raw total energy = -21.65 eV/cell
ΔH_f (0 K) = -15.8 meV per atom
Theoretical density = 12.92 Mg/m³
Total moment = 0.000 μB/f.u.
DOS at the Fermi energy = 5.0 states/eV/cell



[4]
A plane-wave DFT calculation with PBE-GGA was carried out for Cu2Pt2Rh7 after structural relaxation.

Geometry as CIF:
```
data_Cu2Pt2Rh7
_chemical_formula_sum 'Cu4 Pt4 Rh14'
_cell_length_a 6.8750
_cell_length_b 8.0784
_cell_length_c 6.0982
_cell_angle_alpha 90.00
_cell_angle_beta 106.91
_cell_angle_gamma 90.00
_space_group_name_H-M_alt 'C 1 2/m 1'
_space_group_IT_number 12
loop_
_space_group_symop_operation_xyz
'x,y,z'
'-x,-y,-z'
'-x,y,-z'
'x,-y,z'
'x+1/2,y+1/2,z'
'-x+1/2,-y+1/2,-z'
'-x+1/2,y+1/2,-z'
'x+1/2,-y+1/2,z'
loop_
_atom_site_label
_atom_site_type_symbol
_atom_site_fract_x
_atom_site_fract_y
_atom_site_fract_z
Cu1 Cu 0.0000 0.2190 0.0000
Pt1 Pt 0.1907 0.5000 0.9680
Rh1 Rh 0.0000 0.5000 0.5000
Rh2 Rh 0.0986 0.0000 0.3409
Rh3 Rh 0.1841 0.2209 0.6735
```

Output
Raw total energy = -139.40 eV/cell
ΔH_f (0 K) = 184.8 meV per atom
Theoretical density = 12.68 Mg/m³
Total moment = 0.001 μB/f.u.
DOS at the Fermi energy = 33.0 states/eV/cell